# 1
Compound: SrTc3W4
Source: the Open Quantum Materials Database
Functional: PBE
Structure: relaxed

abc: 8.0538 8.0538 2.8019
angles: 99.95 99.95 53.88
Positions (direct):
Tc  0.5000  0.5000  0.0000
Tc  0.2012  0.2012  0.2006
Tc  0.7988  0.7988  0.7994
W  0.1601  0.5359  0.3485
W  0.8399  0.4641  0.6515
W  0.4641  0.8399  0.6515
W  0.5359  0.1601  0.3485
Sr  0.0000  0.0000  0.5000

Calculated values
total DFT energy (no corrections) = -9.92 eV/atom
SG = C2/m (12)

---

# 2
Compound: LuZnFeAu
Source: the Open Quantum Materials Database
Functional: PBE
Structure: relaxed

abc: 4.6611 4.6611 4.6611
angles: 60.00 60.00 60.00
Positions (direct):
Lu  0.2500  0.2500  0.2500
Zn  0.0000  0.0000  0.0000
Fe  0.7500  0.7500  0.7500
Au  0.5000  0.5000  0.5000

Calculated values
SG = F-43m (216)
calculated formation energy = -0.168 eV per atom

---

# 3
Compound: GdS
Source: the Open Quantum Materials Database
Functional: PBE
Structure: relaxed

abc: 3.9461 3.9461 3.9461
angles: 120.00 90.00 120.00
Positions (direct):
Gd  0.0000  0.0000  0.0000
S  0.5000  0.0000  0.5000

Calculated values
total DFT energy (no corrections) = -6.41 eV/atom
SG = Fm-3m (225)

---

# 4
Compound: MgNb2Sn
Source: the Open Quantum Materials Database
Functional: PBE
Structure: relaxed

abc: 4.7663 4.7663 4.7663
angles: 60.00 60.00 60.00
Positions (direct):
Sn  0.5000  0.5000  0.5000
Nb  0.7500  0.7500  0.7500
Nb  0.0000  0.0000  0.0000
Mg  0.2500  0.2500  0.2500

Calculated values
total DFT energy (no corrections) = -6.29 eV/atom
SG = F-43m (216)

---

# 5
Compound: Nb4SnGeN2
Source: the Open Quantum Materials Database
Functional: PBE
Structure: relaxed

abc: 3.2658 3.2658 13.0477
angles: 90.00 90.00 120.00
Positions (direct):
Nb  0.0000  0.0000  0.6782
Nb  0.6667  0.3333  0.1495
Nb  0.0000  0.0000  0.3218
Nb  0.6667  0.3333  0.8505
N  0.3333  0.6667  0.7619
N  0.3333  0.6667  0.2381
Ge  0.0000  0.0000  0.0000
Sn  0.6667  0.3333  0.5000

Calculated values
total DFT energy (no corrections) = -8.81 eV/atom
SG = P-6m2 (187)

---

# 6
Compound: PmMgAl
Source: the Open Quantum Materials Database
Functional: PBE
Structure: relaxed

abc: 5.0305 5.0305 5.0305
angles: 60.00 60.00 60.00
Positions (direct):
Al  0.7500  0.7500  0.7500
Pm  0.5000  0.5000  0.5000
Mg  0.2500  0.2500  0.2500

Calculated values
total DFT energy (no corrections) = -2.99 eV/atom
SG = F-43m (216)

---

# 7
Compound: SmErPt
Source: the Open Quantum Materials Database
Functional: PBE
Structure: relaxed

abc: 7.1795 4.7737 8.7628
angles: 90.00 90.00 90.00
Positions (direct):
Sm  0.4886  0.2500  0.1732
Sm  0.0114  0.7500  0.6732
Sm  0.5114  0.7500  0.8268
Sm  0.9886  0.2500  0.3268
Er  0.8569  0.2500  0.9211
Er  0.1431  0.7500  0.0789
Er  0.3569  0.2500  0.5789
Er  0.6431  0.7500  0.4211
Pt  0.7506  0.2500  0.5923
Pt  0.2506  0.2500  0.9077
Pt  0.7494  0.7500  0.0923
Pt  0.2494  0.7500  0.4077

Calculated values
SG = Pnma (62)
calculated formation energy = -0.934 eV per atom

---

# 8
Compound: RbLiMoPd
Source: the Open Quantum Materials Database
Functional: PBE
Structure: relaxed

abc: 4.9773 4.9773 4.9773
angles: 60.00 60.00 60.00
Positions (direct):
Rb  0.5000  0.5000  0.5000
Li  0.7500  0.7500  0.7500
Mo  0.2500  0.2500  0.2500
Pd  0.0000  0.0000  0.0000

Calculated values
total DFT energy (no corrections) = -3.65 eV/atom
SG = F-43m (216)

---

# 9
Compound: SmY2Al2Ni4
Source: the Open Quantum Materials Database
Functional: PBE
Structure: relaxed

abc: 5.3127 5.3127 8.1529
angles: 97.55 97.55 45.49
Positions (direct):
Ni  0.7329  0.7329  0.0857
Ni  0.0827  0.0827  0.6335
Ni  0.2671  0.2671  0.9143
Ni  0.9173  0.9173  0.3665
Al  0.3214  0.3214  0.2185
Al  0.6786  0.6786  0.7815
Y  0.3743  0.3743  0.6189
Y  0.6257  0.6257  0.3811
Sm  0.0000  0.0000  0.0000

Calculated values
total DFT energy (no corrections) = -5.82 eV/atom
SG = C2/m (12)

---

# 10
Compound: Ho2Tm3Ga3
Source: the Open Quantum Materials Database
Functional: PBE
Structure: relaxed

abc: 5.4208 6.2539 6.2539
angles: 69.88 90.00 90.00
Positions (direct):
Ho  0.5000  0.6813  0.6813
Ho  0.0000  0.2723  0.2723
Ga  0.0000  0.7481  0.3911
Ga  0.0000  0.3911  0.7481
Ga  0.5000  0.1660  0.1660
Tm  0.0000  0.8704  0.8704
Tm  0.5000  0.1865  0.6842
Tm  0.5000  0.6842  0.1865

Calculated values
total DFT energy (no corrections) = -4.20 eV/atom
SG = Amm2 (38)

---

# 11
Compound: RbTbNO
Source: the Open Quantum Materials Database
Functional: PBE
Structure: relaxed

abc: 3.7070 6.6460 7.5904
angles: 90.00 90.00 90.00
Site moments in Bohr magnetons follow the coordinates.
Positions (direct):
Tb  0.0000  0.4940  0.3377  0.01
Tb  0.0000  0.9940  0.6623  0.01
O  0.5000  0.4339  0.1971  0.04
O  0.5000  0.9339  0.8029  0.04
N  0.0000  0.8238  0.4068  0.61
N  0.0000  0.3238  0.5932  0.61
Rb  0.5000  0.5024  0.8339  0.01
Rb  0.5000  0.0024  0.1661  0.01

Calculated values
total DFT energy (no corrections) = -5.94 eV/atom
SG = Pmc2_1 (26)

---

# 12
Compound: RbLaPu
Source: the Open Quantum Materials Database
Functional: PBE
Structure: relaxed

abc: 6.1129 6.1129 6.1129
angles: 60.00 60.00 60.00
Site moments in Bohr magnetons follow the coordinates.
Positions (direct):
Rb  0.5000  0.5000  0.5000  0.08
Pu  0.2500  0.2500  0.2500  6.25
La  0.0000  0.0000  0.0000  0.87

Calculated values
total DFT energy (no corrections) = -5.51 eV/atom
SG = F-43m (216)

---

# 13
Compound: RbTcAg
Source: the Open Quantum Materials Database
Functional: PBE
Structure: relaxed

abc: 5.2304 5.2304 5.2304
angles: 60.00 60.00 60.00
Positions (direct):
Tc  0.7500  0.7500  0.7500
Ag  0.2500  0.2500  0.2500
Rb  0.0000  0.0000  0.0000

Calculated values
total DFT energy (no corrections) = -2.62 eV/atom
SG = F-43m (216)

---

# 14
Compound: AsPd2W
Source: the Open Quantum Materials Database
Functional: PBE
Structure: relaxed

abc: 4.4314 4.4314 4.4314
angles: 60.00 60.00 60.00
Positions (direct):
As  0.5000  0.5000  0.5000
Pd  0.0000  0.0000  0.0000
Pd  0.7500  0.7500  0.7500
W  0.2500  0.2500  0.2500

Calculated values
total DFT energy (no corrections) = -6.91 eV/atom
SG = F-43m (216)